## 1
Here is crystalline Ac3Ga2Cu at its relaxed geometry from Alexandria. Energies are from PBE.

abc: 4.580 12.654 12.566
angles: 90.00 90.00 90.00
Fractional positions:
Ga 0.750 0.183 0.026
Ac 0.750 0.195 0.286
Cu 0.250 0.374 0.626
Ac 0.750 0.557 0.621
Ac 0.250 0.695 0.214
Ga 0.250 0.006 0.307
Ac 0.750 0.943 0.121
Ga 0.750 0.506 0.193
Ga 0.250 0.494 0.807
Ac 0.250 0.057 0.879
Ac 0.250 0.443 0.379
Ac 0.750 0.871 0.444
Ga 0.750 0.994 0.693
Ga 0.750 0.317 0.526
Ga 0.250 0.817 0.974
Ac 0.250 0.129 0.556
Cu 0.250 0.126 0.126
Ac 0.750 0.629 0.944
Ac 0.250 0.371 0.056
Ac 0.750 0.305 0.786
Ga 0.250 0.683 0.474
Cu 0.750 0.874 0.874
Ac 0.250 0.805 0.714
Cu 0.750 0.626 0.374

DOS(E_F) (states/eV/f.u.): 4.767

## 2
Here is crystalline Ac3Ga2Cu at its relaxed geometry from Alexandria. Energies are from PBE.

abc: 3.840 3.840 11.935
angles: 90.00 90.00 90.00
Fractional positions:
Ac 0.000 0.000 0.000
Ac 0.000 0.000 0.340
Ga 0.500 0.500 0.826
Ga 0.500 0.500 0.174
Cu 0.500 0.500 0.500
Ac 0.000 0.000 0.660

DOS(E_F) (states/eV/f.u.): 6.575

Order of stability, best first: 1, 2

## 1
Here is crystalline AcGaCuPd at its relaxed geometry from Alexandria. Energies are from PBE.

abc: 4.406 4.406 5.810
angles: 112.01 90.00 120.00
Fractional positions:
Ga 0.121 0.242 0.004
Pd 0.415 0.830 0.887
Ac 0.616 0.231 0.489
Cu 0.815 0.630 0.087

DOS(E_F) (states/eV/f.u.): 2.871

## 2
Here is crystalline AcGaCuPd at its relaxed geometry from Alexandria. Energies are from PBE.

abc: 4.956 4.956 4.956
angles: 60.00 60.00 60.00
Fractional positions:
Cu 0.250 0.250 0.250
Ga 0.500 0.500 0.500
Pd 0.750 0.750 0.750
Ac 0.000 0.000 0.000

DOS(E_F) (states/eV/f.u.): 3.699

Order of stability, best first: 1, 2

## 1
Here is crystalline AcGdCu at its relaxed geometry from Alexandria. Energies are from PBE.

abc: 4.643 4.761 4.761
angles: 120.00 90.00 90.00
Each line ends with the local moment (μB).
Fractional positions:
Ac 0.001 0.000 0.000  0.05
Gd 0.501 0.667 0.333  7.14
Cu 0.498 0.333 0.667  0.00

DOS(E_F) (states/eV/f.u.): 3.520

## 2
Here is crystalline AcGdCu at its relaxed geometry from Alexandria. Energies are from PBE.

abc: 5.117 5.117 5.117
angles: 60.00 60.00 60.00
Each line ends with the local moment (μB).
Fractional positions:
Gd 0.000 0.000 0.000  7.23
Ac 0.500 0.500 0.500  0.12
Cu 0.250 0.250 0.250  0.03

DOS(E_F) (states/eV/f.u.): 5.720

Order of stability, best first: 1, 2

## 1
Here is crystalline AcGdCu2 at its relaxed geometry from Alexandria. Energies are from PBE.

abc: 4.932 4.932 5.605
angles: 63.90 63.90 60.00
Each line ends with the local moment (μB).
Fractional positions:
Cu 0.715 0.715 0.855  0.01
Cu 0.285 0.285 0.145  0.01
Gd 0.000 0.000 0.000  -7.02
Ac 0.500 0.500 0.500  0.01

DOS(E_F) (states/eV/f.u.): 2.520

## 2
Here is crystalline AcGdCu2 at its relaxed geometry from Alexandria. Energies are from PBE.

abc: 3.662 3.662 7.254
angles: 90.00 90.00 90.00
Each line ends with the local moment (μB).
Fractional positions:
Ac 0.500 0.500 0.500  0.01
Cu 0.000 0.000 0.212  0.00
Gd 0.500 0.500 0.000  7.01
Cu 0.000 0.000 0.788  0.00

DOS(E_F) (states/eV/f.u.): 2.682

Order of stability, best first: 2, 1

## 1
Here is crystalline Ac2Cu2Ge3 at its relaxed geometry from Alexandria. Energies are from PBE.

abc: 4.654 7.055 9.870
angles: 90.00 103.64 90.00
Fractional positions:
Ge 0.562 0.069 0.124
Ge 0.562 0.431 0.124
Cu 0.683 0.572 0.366
Cu 0.317 0.428 0.634
Cu 0.683 0.928 0.366
Ac 0.164 0.250 0.328
Ac 0.836 0.750 0.672
Ge 0.778 0.250 0.557
Cu 0.317 0.072 0.634
Ac 0.948 0.250 0.896
Ge 0.438 0.569 0.876
Ge 0.438 0.931 0.876
Ge 0.222 0.750 0.443
Ac 0.052 0.750 0.104

DOS(E_F) (states/eV/f.u.): 1.259

## 2
Here is crystalline Ac2Cu2Ge3 at its relaxed geometry from Alexandria. Energies are from PBE.

abc: 4.449 5.711 7.129
angles: 106.50 90.00 112.92
Fractional positions:
Ge 0.400 0.799 0.567
Ge 0.600 0.201 0.433
Ac 0.852 0.705 0.217
Ac 0.148 0.295 0.783
Ge 0.500 0.000 0.000
Cu 0.161 0.321 0.311
Cu 0.839 0.679 0.689

DOS(E_F) (states/eV/f.u.): 4.205

Order of stability, best first: 1, 2

## 1
Here is crystalline Ac3Cu2Ge2 at its relaxed geometry from Alexandria. Energies are from PBE.

abc: 4.397 4.473 10.079
angles: 102.82 102.60 90.00
Fractional positions:
Cu 0.566 0.566 0.131
Ge 0.864 0.364 0.728
Ac 0.000 0.000 0.000
Ge 0.136 0.636 0.272
Cu 0.434 0.434 0.869
Ac 0.684 0.184 0.367
Ac 0.316 0.816 0.633

DOS(E_F) (states/eV/f.u.): 5.511

## 2
Here is crystalline Ac3Cu2Ge2 at its relaxed geometry from Alexandria. Energies are from PBE.

abc: 4.590 6.287 7.585
angles: 110.25 90.00 111.41
Fractional positions:
Ge 0.020 0.040 0.336
Cu 0.197 0.394 0.927
Cu 0.803 0.606 0.073
Ge 0.980 0.960 0.664
Ac 0.318 0.635 0.362
Ac 0.500 0.000 0.000
Ac 0.682 0.365 0.638

DOS(E_F) (states/eV/f.u.): 5.580

Order of stability, best first: 1, 2